[1]
Crystalline RbInSi at its relaxed geometry, computed with GGA-PBE.

- Formation energy (no corrections): 5.57 kcal/mol of atoms
- Spin magnetization: 0.0 μB per formula unit
- DFT total energy: -2.8015 eV/atom

a b c (Å): 9.596 9.596 9.596
angles (deg): 93.98 93.98 149.47
Sites, in units of the cell vectors:
1 Rb 0.000 0.232 0.232
2 Rb 0.000 0.768 0.768
3 Rb 0.232 0.000 0.232
4 Rb 0.768 0.000 0.768
5 In 0.287 0.287 0.573
6 In 0.287 0.713 0.000
7 In 0.713 0.287 0.000
8 In 0.713 0.713 0.427
9 Si 0.088 0.500 0.588
10 Si 0.500 0.088 0.588
11 Si 0.500 0.912 0.412
12 Si 0.912 0.500 0.412



[2]
Crystalline Ac4La4Dy at its relaxed geometry, computed with GGA-PBE.

- Energy of formation: 30.8 meV per atom
- Spin magnetization: 0.0 μB per formula unit
- DFT total energy: -4.4964 eV/atom

a b c (Å): 8.577 8.577 8.577
angles (deg): 95.72 95.72 143.20
Sites, in units of the cell vectors:
1 Ac 0.165 0.165 0.330
2 Ac 0.165 0.835 0.000
3 Ac 0.835 0.165 0.000
4 Ac 0.835 0.835 0.670
5 La 0.163 0.500 0.663
6 La 0.500 0.163 0.663
7 La 0.500 0.837 0.337
8 La 0.837 0.500 0.337
9 Dy 0.500 0.500 0.000